(1)
Here is crystalline LaCe2HgN at its relaxed geometry from the Alexandria database. Energies are from PBE-GGA.

The space group is P4/mmm (No. 123) and the conventional cell measures 4.889, 4.889 and 5.143 Å, with angles of 90.00, 90.00 and 90.00 degrees. The distinct sites, in fractional coordinates, are La at (0.000, 0.000, 0.000), Ce at (0.000, 0.500, 0.500), Hg at (0.500, 0.500, 0.000) and N at (0.000, 0.000, 0.500).

The uncorrected formation energy is -0.74 eV per atom.

=====

(2)
Here is crystalline Nd3Tl at its relaxed geometry from the Alexandria database. Energies are from PBE-GGA.

The space group is I4/mmm (No. 139) and the conventional cell measures 4.906, 4.906 and 10.349 Å, with angles of 90.00, 90.00 and 90.00 degrees. The distinct sites, in fractional coordinates, are Nd at (0.000, 0.000, 0.000), Nd at (0.000, 0.500, 0.250) and Tl at (0.000, 0.000, 0.500).

The calculation puts the energy above the most stable polymorph in this dataset at 17 meV/atom. The formation energy is -0.188 eV/atom.

=====

(3)
Here is crystalline CrW at its relaxed geometry from the Alexandria database. Energies are from PBE-GGA.

The space group is Cmme (No. 67) and the conventional cell measures 3.072, 4.357 and 8.430 Å, with angles of 90.00, 90.00 and 90.00 degrees. The distinct sites, in fractional coordinates, are Cr at (0.000, 0.250, 0.111) and W at (0.000, 0.250, 0.638).

The formation energy is 0.101 eV/atom.

=====

| no. | magnetic moment (μB per cell) | V (A^3/atom) |
| --- | --- | --- |
| 1 | 1.52 | 24.59 |
| 2 | 0.00 | 31.13 |
| 3 | 0.00 | 14.11 |